1.
This record from Alexandria via LeMat-Bulk describes a PBEsol-optimized structure of AgMo3P3O16. The functional is SCAN.

```
AgMo3P3O16
1.0
-5.5397 2.4980 -2.0670
-4.2076 -6.4752 0.0175
-6.2558 1.4005 11.0653
O P Mo Ag
32 6 6 2
Direct
0.3720 0.7457 0.0126 O
0.6280 0.2543 0.9874 O
0.3816 0.8251 0.3059 O
0.8929 0.2408 0.5259 O
0.1435 0.9809 0.1456 O
0.5980 0.5916 0.1765 O
0.0831 0.3020 0.0161 O
0.2665 0.0515 0.4238 O
0.8554 0.5867 0.3769 O
0.1986 0.0425 0.6379 O
0.4238 0.0396 0.8942 O
0.9744 0.3472 0.2665 O
0.9169 0.6980 0.9839 O
0.2530 0.8066 0.8330 O
0.5169 0.2398 0.5102 O
0.4831 0.7602 0.4898 O
0.1071 0.7592 0.4741 O
0.8408 0.3799 0.7811 O
0.7335 0.9485 0.5762 O
0.3580 0.2410 0.1611 O
0.1446 0.4133 0.6231 O
0.8014 0.9575 0.3621 O
0.4020 0.4084 0.8235 O
0.7470 0.1934 0.1670 O
0.6184 0.1749 0.6941 O
0.0256 0.6528 0.7335 O
0.2179 0.4072 0.3898 O
0.5762 0.9604 0.1058 O
0.8565 0.0191 0.8544 O
0.7821 0.5928 0.6102 O
0.1592 0.6201 0.2189 O
0.6420 0.7590 0.8389 O
0.9422 0.5081 0.6852 P
0.0578 0.4919 0.3148 P
0.4243 0.8399 0.8963 P
0.6928 0.1488 0.5769 P
0.3072 0.8512 0.4231 P
0.5757 0.1601 0.1037 P
0.0617 0.2063 0.1443 Mo
0.8000 0.7881 0.4625 Mo
0.5978 0.2404 0.8373 Mo
0.9383 0.7937 0.8557 Mo
0.4022 0.7596 0.1627 Mo
0.2000 0.2119 0.5375 Mo
0.5863 0.3657 0.3225 Ag
0.4137 0.6343 0.6775 Ag
```

For the total magnetic moment, the calculation gives 0.09 μB/atom. The raw formation energy is -49.02 eV per formula unit.

2.
This record from Alexandria via LeMat-Bulk describes a PBEsol-optimized structure of V2ZnO4. The functional is SCAN.

```
V2ZnO4
1.0
-4.4097 -1.4190 3.7798
0.1621 -5.0236 3.2378
0.8051 0.1305 5.9229
V O Zn
4 8 2
Direct
0.7480 0.7480 0.7480 V
0.8826 0.3708 0.3708 V
0.3708 0.3708 0.8826 V
0.3708 0.8826 0.3708 V
0.6175 0.6175 0.6175 O
0.6296 0.1390 0.6296 O
0.1316 0.1316 0.1316 O
0.6296 0.6296 0.1390 O
0.1326 0.1326 0.5942 O
0.1390 0.6296 0.6296 O
0.5942 0.1326 0.1326 O
0.1326 0.5942 0.1326 O
0.9964 0.9964 0.9964 Zn
0.3766 0.3766 0.3766 Zn
```

For the total magnetic moment, the calculation gives 0.57 μB/atom. The raw formation energy is -16.26 eV per formula unit.

Q: Which formula does entry 1 have?
A: AgMo3P3O16

Q: The highest raw formation energy belongs to which entry?
A: V2ZnO4

Q: Which of these has the highest raw formation energy?
A: V2ZnO4